1.
Material: NdCoAs3
Method: DFT, GGA-PBE
State: optimized geometry Values from VASP.

Summary:
As for the space-group type: Pbcm, No. 57.

Structure (Quantum ESPRESSO input):
```
&SYSTEM
  ibrav = 0, nat = 20, ntyp = 3
/
ATOMIC_SPECIES
Nd 144.24 Nd.upf
Co 58.93 Co.upf
As 74.92 As.upf
ATOMIC_POSITIONS angstrom
Nd 2.396 0.006 1.392
Nd 2.396 2.797 4.175
Nd 9.894 2.809 1.392
Nd 9.894 5.600 4.175
Co 5.082 4.205 0.000
Co 5.082 4.205 2.783
Co 7.208 1.402 0.000
Co 7.208 1.402 2.783
As 0.015 4.205 0.000
As 0.015 4.205 2.783
As 3.646 0.026 4.175
As 3.646 2.778 1.392
As 5.438 0.580 1.392
As 5.438 2.223 4.175
As 6.852 3.383 1.392
As 6.852 5.026 4.175
As 8.644 2.829 4.175
As 8.644 5.581 1.392
As 12.275 1.402 0.000
As 12.275 1.402 2.783
CELL_PARAMETERS angstrom
12.290 0.000 0.000
0.000 5.606 0.000
0.000 0.000 5.567
```



2.
Material: NdCo3As3
Method: DFT, GGA-PBE
State: optimized geometry Values from VASP.

Summary:
As for the space-group type: Pm-3n, No. 223. The calculation puts the energy above the most stable polymorph in this dataset at 0.153 eV per atom.

Structure (Quantum ESPRESSO input):
```
&SYSTEM
  ibrav = 0, nat = 14, ntyp = 3
/
ATOMIC_SPECIES
Nd 144.24 Nd.upf
Co 58.93 Co.upf
As 74.92 As.upf
ATOMIC_POSITIONS angstrom
Nd 0.000 0.000 0.000
Nd 3.186 3.186 3.186
Co 0.000 1.593 3.186
Co 0.000 4.778 3.186
Co 1.593 3.186 0.000
Co 3.186 0.000 1.593
Co 3.186 0.000 4.778
Co 4.778 3.186 0.000
As 0.000 3.186 1.593
As 0.000 3.186 4.778
As 1.593 0.000 3.186
As 3.186 1.593 0.000
As 3.186 4.778 0.000
As 4.778 0.000 3.186
CELL_PARAMETERS angstrom
6.371 0.000 0.000
0.000 6.371 0.000
0.000 0.000 6.371
```



3.
Material: Nd2Co3NiAs4
Method: DFT, GGA-PBE
State: optimized geometry Values from VASP.

Summary:
As for the space-group type: P-4m2, No. 115.

Structure (Quantum ESPRESSO input):
```
&SYSTEM
  ibrav = 0, nat = 10, ntyp = 4
/
ATOMIC_SPECIES
Nd 144.24 Nd.upf
Co 58.93 Co.upf
Ni 58.69 Ni.upf
As 74.92 As.upf
ATOMIC_POSITIONS angstrom
Nd 0.000 2.085 2.364
Nd 2.085 0.000 7.151
Co 0.000 2.085 8.428
Co 2.085 0.000 1.088
Co 2.085 2.085 4.758
Ni 0.000 0.000 4.758
As 0.000 0.000 0.000
As 0.000 2.085 6.051
As 2.085 0.000 3.465
As 2.085 2.085 0.000
CELL_PARAMETERS angstrom
4.169 0.000 0.000
0.000 4.169 0.000
0.000 0.000 9.516
```



| no. | V (Å³ per cell) | formation energy from the elements (meV/atom) |
| --- | --- | --- |
| 1 | 383.5 | -679 |
| 2 | 258.6 | -311 |
| 3 | 165.4 | -758 |